Material: SrSn2IrRh
Method: DFT, PBE-GGA
State: optimized geometry

```
5
Lattice="-2.2375 2.2375 5.7672 2.2375 -2.2375 5.7672 2.2375 2.2375 -5.7672" Properties=species:S:1:pos:R:3 pbc="T T T"
Sr 0.0000 0.0000 0.0000
Sn 0.0000 0.0000 4.2648
Sn 0.0000 0.0000 7.2695
Ir 2.2375 0.0000 2.8836
Rh 0.0000 2.2375 2.8836
```

## Properties
E	-28.48	eV/cell
ΔH_f (0 K)	-0.5161	eV/atom
symmetry	No. 119

=====

Material: LiNdLuZn
Method: DFT, PBE-GGA
State: optimized geometry

```
4
Lattice="0.0000 3.6345 3.6345 3.6345 0.0000 3.6345 3.6345 3.6345 0.0000" Properties=species:S:1:pos:R:3 pbc="T T T"
Li 0.0000 0.0000 0.0000
Nd 5.4517 5.4517 5.4517
Lu 1.8172 1.8172 1.8172
Zn 3.6345 3.6345 3.6345
```

## Properties
E	-12.90	eV/cell
ΔH_f (0 K)	-0.1067	eV/atom
symmetry	No. 216

=====

Material: MgAg2PtRh
Method: DFT, PBE-GGA
State: optimized geometry

```
5
Lattice="5.0347 0.0000 0.0000 0.0000 5.0347 0.0000 0.0000 0.0000 4.7611" Properties=species:S:1:pos:R:3 pbc="T T T"
Mg 0.0000 0.0000 0.0000
Ag 0.0000 2.5173 2.3805
Ag 2.5173 0.0000 2.3805
Pt 2.5173 2.5173 0.0000
Rh 2.5173 2.5173 2.3805
```

## Properties
E	-16.93	eV/cell
ΔH_f (0 K)	0.7517	eV/atom
symmetry	No. 123

=====

Material: La2Sm4Co
Method: DFT, PBE-GGA
State: optimized geometry

```
7
Lattice="-2.6282 2.6282 8.7013 2.6282 -2.6282 8.7013 2.6282 2.6282 -8.7013" Properties=species:S:1:pos:R:3 pbc="T T T"
La 0.0000 0.0000 2.6231
La 0.0000 0.0000 14.7794
Sm 2.6282 0.0000 0.0000
Sm 0.0000 0.0000 5.9614
Sm 0.0000 2.6282 0.0000
Sm 0.0000 0.0000 11.4411
Co 0.0000 0.0000 8.7013
```

## Properties
E	-34.38	eV/cell
ΔH_f (0 K)	0.2088	eV/atom
symmetry	No. 139

=====

Material: Ca7TeI12
Method: DFT, PBE-GGA
State: optimized geometry

```
20
Lattice="8.1675 4.7155 3.6998 -8.1675 4.7155 3.6998 0.0000 -9.4310 3.6998" Properties=species:S:1:pos:R:3 pbc="T T T"
Ca 0.0000 0.0000 0.0000
Ca -1.8665 -1.8656 3.6897
Ca -0.6824 2.5492 3.6897
Ca 2.5489 -0.6836 3.6897
Ca -2.5489 0.6836 7.4098
Ca 0.6824 -2.5492 7.4098
Ca 1.8665 1.8656 7.4098
Te 0.0000 0.0000 5.5497
I -2.4350 0.6779 1.8837
I 0.6304 -2.4477 1.8837
I -4.3199 -1.1424 5.4896
I -1.1706 -4.3123 5.6098
I 1.8046 1.7698 1.8837
I -3.1492 3.1699 5.6098
I 3.1492 -3.1700 5.4896
I -1.8046 -1.7698 9.2158
I 1.1706 4.3123 5.4896
I 4.3199 1.1423 5.6098
I -0.6304 2.4477 9.2158
I 2.4349 -0.6779 9.2158
```

## Properties
E	-67.72	eV/cell
symmetry	No. 148
uncorrected formation energy	-31.97	eV/f.u.

=====

Material: Hf3NbRh2
Method: DFT, PBE-GGA
State: optimized geometry

```
6
Lattice="3.3082 0.0000 0.0000 0.0000 3.3082 0.0000 0.0000 0.0000 10.0259" Properties=species:S:1:pos:R:3 pbc="T T T"
Hf 0.0000 0.0000 0.0000
Hf 0.0000 0.0000 3.2397
Hf 0.0000 0.0000 6.7862
Nb 1.6541 1.6541 5.0130
Rh 1.6541 1.6541 1.5484
Rh 1.6541 1.6541 8.4776
```

## Properties
E	-58.31	eV/cell
ΔH_f (0 K)	-0.6133	eV/atom
symmetry	No. 123

=====

- Look up the E of the first one.
  -28.48 eV/cell